A plane-wave DFT calculation with PBE was carried out for crystalline AcTbPm4 at its relaxed geometry.

It has space group F-43m (No. 216), with a = 9.5647 Å, b = 9.5647 Å, c = 9.5647 Å, α = 90.00°, β = 90.00° and γ = 90.00°. The asymmetric unit holds Ac at (0.0000, 0.0000, 0.0000), Tb at (0.2500, 0.2500, 0.7500) and Pm at (0.1236, 0.1236, 0.3764).

For the excess energy over the best structure of this formula in the dataset, the calculation gives 209 meV/atom. The calculation puts the density of states at the Fermi level at 43.911 states/eV per cell. The formation energy comes out at 237.5 meV/atom. The calculated density comes out at 7.3 g/cm³.